# La4Cd2Ru

An optimized crystal structure of La4Cd2Ru (GGA-PBE, Alexandria via LeMat-Bulk).

Calculated values
Formation enthalpy at 0 K = -0.176 eV/atom
D(E_F) = 10.7 states/eV per cell
ΔE to the lowest computed polymorph = 0.000 eV per atom
Space-group type = I4/mmm, No. 139

Structure (CIF):
```
data_La4Cd2Ru
_space_group_name_H-M_alt 'P 1'
_space_group_IT_number 1
_space_group_name_Hall 'P 1'
_cell_length_a 8.959
_cell_length_b 8.959
_cell_length_c 8.959
_cell_angle_alpha 144.80
_cell_angle_beta 144.80
_cell_angle_gamma 50.64
loop_
_atom_site_label
_atom_site_fract_x
_atom_site_fract_y
_atom_site_fract_z
La1 0.000 0.500 0.500
La2 0.178 0.178 0.000
La3 0.500 0.000 0.500
La4 0.822 0.822 0.000
Cd1 0.374 0.374 0.000
Cd2 0.626 0.626 0.000
Ru1 0.000 0.000 0.000
```